Record 1
Compound: Dy6HoTl2
Source: the Alexandria database
Functional: PBE
Structure: relaxed

```
18
Lattice="6.0804 -0.2462 -0.2384 1.2194 9.4419 1.1445 1.2194 1.4498 9.3999" Properties=species:S:1:pos:R:3 pbc="T T T"
Dy 1.5531 3.4520 1.2951
Dy 4.5933 1.2831 3.2890
Dy 6.9662 7.1935 9.0109
Dy 2.6638 9.5420 3.5757
Dy 5.7040 3.7599 9.3020
Dy 4.1954 3.6906 5.6104
Dy 5.8555 1.1035 6.7303
Dy 3.9260 9.3624 7.0170
Dy 1.1552 5.8502 3.6260
Dy 4.3239 6.9549 4.6956
Dy 7.3641 4.7954 6.6800
Dy 2.8152 6.8856 1.0040
Tl 7.1608 7.9303 5.7253
Tl 4.1205 6.1023 7.8599
Tl 1.3585 2.7152 4.5807
Tl 4.3987 4.5432 2.4462
Ho 5.7797 8.4503 1.7993
Ho 2.7395 2.1953 8.5067
```

Computed properties:
calculated total energy: -4.19 eV/atom
excess energy over the best structure of this formula in the dataset: 0.0553 eV/atom
energy of formation: -0.0919 eV/atom
space-group type: No. 15

Record 2
Compound: Dy8Ho2Tl
Source: the Alexandria database
Functional: PBE
Structure: relaxed

```
11
Lattice="-3.2588 -3.4869 -2.8176 4.4213 -4.6037 0.5837 -1.8366 -1.7445 9.7342" Properties=species:S:1:pos:R:3 pbc="T T T"
Dy -0.4785 -7.8437 4.8095
Dy -3.6047 -6.1520 6.3317
Dy -0.2747 -5.6896 7.3590
Dy -0.3995 -4.1455 0.1413
Dy -1.8034 -2.9192 5.6985
Dy -0.1957 -1.9914 2.6908
Dy 2.9305 -3.6831 1.1686
Dy 1.1292 -6.9159 1.8018
Ho 1.2523 -4.7561 4.4376
Ho -1.9265 -5.0790 3.0627
Tl -1.6294 -1.7435 -1.4088
```

Computed properties:
calculated total energy: -4.42 eV/atom
excess energy over the best structure of this formula in the dataset: 0.0048 eV/atom
energy of formation: -0.0285 eV/atom
space-group type: No. 12

Record 3
Compound: Dy2Ho4Tl
Source: the Alexandria database
Functional: PBE
Structure: relaxed

```
28
Lattice="-0.0025 -1.3999 3.2286 21.0375 -0.8217 -0.3401 0.4825 9.1309 7.7862" Properties=species:S:1:pos:R:3 pbc="T T T"
Dy 12.7771 0.8167 1.3207
Dy 19.1711 4.4418 6.7286
Dy 12.9498 5.2981 5.1762
Dy 8.7404 6.0926 9.3541
Dy 8.5678 1.6112 5.4985
Dy 2.5271 7.1220 7.8789
Dy 2.3465 2.4675 3.9461
Dy 18.9904 -0.2127 2.7958
Ho 11.5121 2.5604 3.9926
Ho 6.8205 4.7459 4.9355
Ho 5.2975 1.5188 5.4543
Ho 17.5081 7.3285 7.9765
Ho 11.8070 7.1107 7.8771
Ho 16.2201 5.3905 5.2204
Ho 5.7771 6.7749 7.7293
Ho 1.1599 5.4074 5.2187
Ho 10.0054 4.3489 6.6822
Ho 20.6538 6.0782 9.3561
Ho 14.6970 2.1634 5.7392
Ho 20.3576 1.5019 5.4561
Ho 15.7404 0.1343 2.9454
Ho 9.7105 -0.2015 2.7977
Ho 0.8638 0.8311 1.3186
Ho 4.0094 -0.4192 2.6982
Tl 6.8977 0.2647 1.0802
Tl 14.6199 6.6446 9.5945
Tl 3.9413 4.2551 6.6393
Tl 17.5763 2.6542 4.0354
```

Computed properties:
calculated total energy: -4.31 eV/atom
excess energy over the best structure of this formula in the dataset: 0.0000 eV/atom
energy of formation: -0.0365 eV/atom
space-group type: No. 62

Record 4
Compound: DyHo8Tl2
Source: the Alexandria database
Functional: PBE
Structure: relaxed

```
11
Lattice="-5.2239 1.8144 -0.5892 -1.2727 -8.0922 3.1109 3.4285 6.1332 5.2354" Properties=species:S:1:pos:R:3 pbc="T T T"
Ho -0.2624 -0.6335 4.8225
Ho -2.8057 0.4890 2.9346
Ho 0.3642 1.4183 1.9117
Ho -0.7014 -1.8059 1.4302
Ho -3.4323 -1.5628 5.8455
Ho -2.8662 -4.1033 3.2765
Ho -2.3667 1.6614 6.3270
Ho -0.2018 3.9588 4.4806
Dy -2.6120 0.9072 -0.2946
Tl 0.1668 -3.7365 3.7614
Tl 1.9891 1.7775 4.5849
```

Computed properties:
calculated total energy: -4.18 eV/atom
energy of formation: 0.0025 eV/atom
space-group type: No. 12

Record 5
Compound: Dy12HoTl3
Source: the Alexandria database
Functional: PBE
Structure: relaxed

```
16
Lattice="-2.2238 2.4386 3.5653 -2.6530 -3.9357 1.0372 13.9127 -6.0086 12.7874" Properties=species:S:1:pos:R:3 pbc="T T T"
Dy 10.7867 -7.1992 11.6520
Dy 4.1304 -1.0447 6.6010
Dy 7.9392 -5.2304 11.8395
Dy -2.4384 -0.7485 2.3013
Dy 3.9158 -4.2319 5.3369
Dy 11.0013 -4.0121 12.9161
Dy 0.6876 0.4422 3.4366
Dy 1.0967 -2.2752 5.5504
Dy 7.3439 -5.7124 8.4877
Dy 7.5585 -2.5252 9.7518
Dy 4.5180 -3.7528 8.6950
Dy 0.4730 -2.7450 2.1726
Tl 3.5671 -1.5405 3.2785
Tl 6.9564 -3.0043 6.3937
Tl 10.3457 -4.4681 9.5089
Ho 0.0000 0.0000 0.0000
```

Computed properties:
calculated total energy: -4.31 eV/atom
energy of formation: -0.1268 eV/atom
space-group type: No. 123

Record 6
Compound: Dy5HoTl8
Source: the Alexandria database
Functional: PBE
Structure: relaxed

```
14
Lattice="-4.5459 5.7325 3.2961 -0.6488 -6.7306 4.3208 7.6655 2.3709 -0.1067" Properties=species:S:1:pos:R:3 pbc="T T T"
Tl -0.7566 -4.2203 3.6350
Tl -0.8707 -0.7999 4.0404
Tl 3.6103 2.8712 3.7447
Tl 3.2874 -0.5088 5.9051
Tl 1.4069 0.8645 2.0141
Tl 1.0036 6.6101 3.4662
Tl -0.8652 3.7205 3.6517
Tl 3.0669 -3.0462 3.5836
Ho 4.2882 -0.1540 2.9044
Dy -2.6496 -0.2839 6.6529
Dy -3.8436 3.5211 4.8878
Dy 1.5598 4.0517 1.5947
Dy -1.7685 1.3034 1.7581
Dy 0.9916 1.5666 5.1244
```

Computed properties:
calculated total energy: -3.55 eV/atom
energy of formation: -0.2303 eV/atom
space-group type: No. 82